1.
Entry from Alexandria: a geometry-optimized Be2HgSe structure (GGA-PBE).

abc: 3.3770 3.3770 5.8341
angles: 90.00 90.00 90.00
Element x y z (fractional)
Be  0.0000  0.0000  0.0000
Be  0.5000  0.5000  0.3916
Hg  0.0000  0.0000  0.5214
Se  0.5000  0.5000  0.0142

Summary:
symmetry: P4mm
energy above the lowest structure with this stoichiometry: 140 meV per atom
Fermi-level density of states: 1.01 states/eV/cell


2.
Entry from Alexandria: a geometry-optimized BeHgSe2 structure (GGA-PBE).

abc: 5.9901 7.1033 7.1714
angles: 115.23 90.41 114.71
Element x y z (fractional)
Be  0.2396  0.9997  0.0003
Be  0.7604  0.0003  0.9997
Hg  0.3056  0.6138  0.3972
Hg  0.6944  0.3862  0.6028
Se  0.1403  0.2816  0.0278
Se  0.4814  0.9675  0.7575
Se  0.5186  0.0325  0.2425
Se  0.8597  0.7184  0.9722

Summary:
symmetry: P-1
energy above the lowest structure with this stoichiometry: 90 meV per atom
Fermi-level density of states: 0.00 states/eV/cell


3.
Entry from Alexandria: a geometry-optimized BeHg2Se structure (GGA-PBE).

abc: 4.9577 4.9577 4.9577
angles: 60.00 60.00 60.00
Element x y z (fractional)
Be  0.0000  0.0000  0.0000
Hg  0.2500  0.2500  0.2500
Hg  0.7500  0.7500  0.7500
Se  0.5000  0.5000  0.5000

Summary:
symmetry: Fm-3m
energy above the lowest structure with this stoichiometry: 934 meV per atom
Fermi-level density of states: 2.93 states/eV/cell


4.
Entry from Alexandria: a geometry-optimized BeHgSe2 structure (GGA-PBE).

abc: 11.3154 3.8280 10.8558
angles: 90.00 90.00 90.00
Element x y z (fractional)
Be  0.0664  0.2500  0.2169
Be  0.4336  0.7500  0.7169
Be  0.5664  0.2500  0.2831
Be  0.9336  0.7500  0.7831
Hg  0.1834  0.2500  0.6123
Hg  0.3166  0.7500  0.1123
Hg  0.6834  0.2500  0.8877
Hg  0.8166  0.7500  0.3877
Se  0.0311  0.7500  0.3120
Se  0.1675  0.2500  0.0509
Se  0.3325  0.7500  0.5509
Se  0.4689  0.2500  0.8120
Se  0.5311  0.7500  0.1880
Se  0.6675  0.2500  0.4491
Se  0.8325  0.7500  0.9491
Se  0.9689  0.2500  0.6880

Summary:
symmetry: Pnma
energy above the lowest structure with this stoichiometry: 152 meV per atom
Fermi-level density of states: 0.00 states/eV/cell


5.
Entry from Alexandria: a geometry-optimized Be2SiHg structure (GGA-PBE).

abc: 3.1637 3.1637 5.5709
angles: 90.00 90.00 90.00
Element x y z (fractional)
Be  0.0000  0.0000  0.1913
Be  0.0000  0.0000  0.8087
Si  0.5000  0.5000  0.0000
Hg  0.5000  0.5000  0.5000

Summary:
symmetry: P4/mmm
energy above the lowest structure with this stoichiometry: 348 meV per atom
Fermi-level density of states: 1.76 states/eV/cell


6.
Entry from Alexandria: a geometry-optimized BeSiHg2 structure (GGA-PBE).

abc: 5.1538 5.1538 5.1538
angles: 131.87 131.87 70.44
Element x y z (fractional)
Be  0.0000  0.0000  0.0000
Si  0.7500  0.2500  0.5000
Hg  0.2500  0.7500  0.5000
Hg  0.5000  0.5000  0.0000

Summary:
symmetry: I-4m2
energy above the lowest structure with this stoichiometry: 348 meV per atom
Fermi-level density of states: 1.85 states/eV/cell


7.
Entry from Alexandria: a geometry-optimized BeSiHg2 structure (GGA-PBE).

abc: 5.2034 5.2034 2.8531
angles: 90.00 90.00 104.55
Element x y z (fractional)
Be  0.0000  0.0000  0.0000
Si  0.5000  0.5000  0.0000
Hg  0.0000  0.5000  0.5000
Hg  0.5000  0.0000  0.5000

Summary:
symmetry: Cmmm
energy above the lowest structure with this stoichiometry: 320 meV per atom
Fermi-level density of states: 1.01 states/eV/cell


8.
Entry from Alexandria: a geometry-optimized Be2SiHg structure (GGA-PBE).

abc: 4.8254 4.8254 4.8254
angles: 134.29 134.29 66.63
Element x y z (fractional)
Be  0.0000  0.0000  0.0000
Be  0.7500  0.2500  0.5000
Si  0.5000  0.5000  0.0000
Hg  0.2500  0.7500  0.5000

Summary:
symmetry: I-4m2
energy above the lowest structure with this stoichiometry: 467 meV per atom
Fermi-level density of states: 1.13 states/eV/cell


9.
Entry from Alexandria: a geometry-optimized Be2SiHg structure (GGA-PBE).

abc: 4.3053 4.3053 4.3053
angles: 60.00 60.00 60.00
Element x y z (fractional)
Be  0.2500  0.2500  0.2500
Be  0.7500  0.7500  0.7500
Si  0.0000  0.0000  0.0000
Hg  0.5000  0.5000  0.5000

Summary:
symmetry: Fm-3m
energy above the lowest structure with this stoichiometry: 496 meV per atom
Fermi-level density of states: 0.55 states/eV/cell


10.
Entry from Alexandria: a geometry-optimized Be2SiHg structure (GGA-PBE).

abc: 4.5896 4.5896 4.5896
angles: 129.57 129.57 74.09
Element x y z (fractional)
Be  0.2500  0.7500  0.5000
Be  0.7500  0.2500  0.5000
Si  0.0000  0.0000  0.0000
Hg  0.5000  0.5000  0.0000

Summary:
symmetry: I4/mmm
energy above the lowest structure with this stoichiometry: 452 meV per atom
Fermi-level density of states: 1.68 states/eV/cell


11.
Entry from Alexandria: a geometry-optimized BeSiHg2 structure (GGA-PBE).

abc: 5.7986 5.7986 5.7986
angles: 152.29 121.27 66.15
Element x y z (fractional)
Be  0.0000  0.0000  0.0000
Si  0.5000  0.5000  0.0000
Hg  0.2142  0.7142  0.5000
Hg  0.7858  0.2858  0.5000

Summary:
symmetry: Immm
energy above the lowest structure with this stoichiometry: 238 meV per atom
Fermi-level density of states: 0.94 states/eV/cell


12.
Entry from Alexandria: a geometry-optimized Be2SiHg structure (GGA-PBE).

abc: 3.6504 3.6504 6.3472
angles: 111.54 111.54 60.44
Element x y z (fractional)
Be  0.0000  0.0000  0.0000
Be  0.6801  0.6801  0.0205
Si  0.4049  0.4049  0.1604
Hg  0.6109  0.6109  0.6067

Summary:
symmetry: Cm
energy above the lowest structure with this stoichiometry: 0 meV per atom
Fermi-level density of states: 0.64 states/eV/cell


13.
Entry from Alexandria: a geometry-optimized BeSiHg2 structure (GGA-PBE).

abc: 3.2706 3.2706 9.0463
angles: 90.00 90.00 126.94
Element x y z (fractional)
Be  0.0000  0.0000  0.0000
Si  0.0000  0.0000  0.5000
Hg  0.5000  0.5000  0.2209
Hg  0.5000  0.5000  0.7791

Summary:
symmetry: Cmmm
energy above the lowest structure with this stoichiometry: 247 meV per atom
Fermi-level density of states: 1.44 states/eV/cell


14.
Entry from Alexandria: a geometry-optimized BeSiHg2 structure (GGA-PBE).

abc: 3.3295 4.2058 5.5978
angles: 90.00 90.00 90.00
Element x y z (fractional)
Be  0.0000  0.0000  0.0000
Si  0.5000  0.0000  0.5000
Hg  0.0000  0.5000  0.5000
Hg  0.5000  0.5000  0.0000

Summary:
symmetry: Pmmm
energy above the lowest structure with this stoichiometry: 335 meV per atom
Fermi-level density of states: 1.83 states/eV/cell


15.
Entry from Alexandria: a geometry-optimized BeSi4Hg structure (GGA-PBE).

abc: 5.1936 5.1936 5.1936
angles: 60.00 60.00 60.00
Element x y z (fractional)
Be  0.0000  0.0000  0.0000
Si  0.3739  0.3739  0.3739
Si  0.3739  0.3739  0.8783
Si  0.3739  0.8783  0.3739
Si  0.8783  0.3739  0.3739
Hg  0.7500  0.7500  0.7500

Summary:
symmetry: F-43m
Fermi-level density of states: 2.48 states/eV/cell


16.
Entry from Alexandria: a geometry-optimized Be2SiHg structure (GGA-PBE).

abc: 4.4000 4.4000 4.4000
angles: 60.00 60.00 60.00
Element x y z (fractional)
Be  0.0000  0.0000  0.0000
Be  0.2500  0.2500  0.2500
Si  0.5000  0.5000  0.5000
Hg  0.7500  0.7500  0.7500

Summary:
symmetry: F-43m
energy above the lowest structure with this stoichiometry: 685 meV per atom
Fermi-level density of states: 2.50 states/eV/cell


17.
Entry from Alexandria: a geometry-optimized BeSiHg2 structure (GGA-PBE).

abc: 6.4580 6.4580 4.2300
angles: 108.78 108.78 26.88
Element x y z (fractional)
Be  0.0000  0.0000  0.0000
Si  0.6574  0.6574  0.1553
Hg  0.2821  0.2821  0.7815
Hg  0.4796  0.4796  0.4794

Summary:
symmetry: Cm
energy above the lowest structure with this stoichiometry: 86 meV per atom
Fermi-level density of states: 1.03 states/eV/cell


18.
Entry from Alexandria: a geometry-optimized Be2SiHg structure (GGA-PBE).

abc: 6.2309 6.2309 6.2309
angles: 153.27 146.34 43.49
Element x y z (fractional)
Be  0.0000  0.0000  0.0000
Be  0.6287  0.1287  0.5000
Si  0.1631  0.6631  0.5000
Hg  0.3857  0.3857  0.0000

Summary:
symmetry: Imm2
energy above the lowest structure with this stoichiometry: 285 meV per atom
Fermi-level density of states: 1.18 states/eV/cell


19.
Entry from Alexandria: a geometry-optimized Be2SiHg structure (GGA-PBE).

abc: 2.8212 2.8212 7.1337
angles: 90.00 90.00 92.85
Element x y z (fractional)
Be  0.0000  0.0000  0.2054
Be  0.0000  0.0000  0.7946
Si  0.5000  0.5000  0.0000
Hg  0.5000  0.5000  0.5000

Summary:
symmetry: Cmmm
energy above the lowest structure with this stoichiometry: 372 meV per atom
Fermi-level density of states: 1.09 states/eV/cell


20.
Entry from Alexandria: a geometry-optimized BeSiHg2 structure (GGA-PBE).

abc: 2.8224 3.7190 7.9909
angles: 90.00 90.00 90.00
Element x y z (fractional)
Be  0.0000  0.0000  0.0000
Si  0.5000  0.5000  0.9439
Hg  0.0000  0.0000  0.3132
Hg  0.5000  0.5000  0.6096

Summary:
symmetry: Pmm2
energy above the lowest structure with this stoichiometry: 0 meV per atom
Fermi-level density of states: 1.40 states/eV/cell


Energy relative to the elements, uncorrected across the listed records, respectively: 0.18 -0.38 0.66 -0.32 0.54 0.70 0.67 0.66 0.69 0.65 0.59 0.19 0.60 0.68 0.75 0.88 0.44 0.48 0.56 0.35 eV/atom.